Entry 1:
{"formula": "PrCoC6N6", "functional": "GGA-PBEsol", "state": "relaxed", "cell": [[7.583, 0.000, 0.000], [-3.792, 6.567, 0.000], [0.000, 0.000, 13.141]], "species": ["C", "C", "C", "C", "C", "C", "C", "C", "C", "C", "C", "C", "Co", "Co", "N", "N", "N", "N", "N", "N", "N", "N", "N", "N", "N", "N", "Pr", "Pr"], "fractional_positions": [[0.886, 0.771, 0.581], [0.886, 0.114, 0.919], [0.229, 0.114, 0.581], [0.886, 0.771, 0.919], [0.114, 0.229, 0.081], [0.886, 0.114, 0.581], [0.771, 0.886, 0.081], [0.229, 0.114, 0.919], [0.114, 0.886, 0.081], [0.114, 0.886, 0.419], [0.114, 0.229, 0.419], [0.771, 0.886, 0.419], [0.000, 0.000, 0.000], [0.000, 0.000, 0.500], [0.373, 0.186, 0.634], [0.814, 0.186, 0.634], [0.186, 0.373, 0.134], [0.186, 0.373, 0.366], [0.814, 0.627, 0.866], [0.627, 0.814, 0.134], [0.373, 0.186, 0.866], [0.186, 0.814, 0.366], [0.186, 0.814, 0.134], [0.814, 0.627, 0.634], [0.814, 0.186, 0.866], [0.627, 0.814, 0.366], [0.667, 0.333, 0.750], [0.333, 0.667, 0.250]], "density_g_cm3": 1.8, "e_form_raw_ev_per_atom": -0.038, "magnetic_moment_mub_per_atom": 0.01}


Entry 2:
{"formula": "Sr6CoC2N7", "functional": "GGA-PBEsol", "state": "relaxed", "cell": [[-1.909, 0.536, -3.270], [-0.360, -9.666, -1.375], [-12.541, -0.562, 7.230]], "species": ["N", "N", "N", "N", "N", "N", "N", "N", "N", "N", "N", "N", "N", "N", "Sr", "Sr", "Sr", "Sr", "Sr", "Sr", "Sr", "Sr", "Sr", "Sr", "Sr", "Sr", "Co", "Co", "C", "C", "C", "C"], "fractional_positions": [[0.973, 0.666, 0.552], [0.566, 0.500, 0.000], [0.973, 0.334, 0.448], [0.025, 0.333, 0.195], [0.025, 0.667, 0.805], [0.374, 0.864, 0.750], [0.626, 0.364, 0.750], [0.027, 0.834, 0.052], [0.374, 0.136, 0.250], [0.626, 0.636, 0.250], [0.434, 0.000, 0.500], [0.027, 0.166, 0.948], [0.975, 0.833, 0.305], [0.975, 0.167, 0.695], [0.939, 0.928, 0.611], [0.507, 0.592, 0.662], [0.507, 0.408, 0.338], [0.493, 0.092, 0.838], [0.440, 0.753, 0.440], [0.061, 0.572, 0.111], [0.560, 0.747, 0.940], [0.493, 0.908, 0.162], [0.560, 0.253, 0.060], [0.061, 0.428, 0.889], [0.440, 0.247, 0.560], [0.939, 0.072, 0.389], [0.978, 0.500, 0.500], [0.022, 0.000, 0.000], [0.185, 0.770, 0.778], [0.815, 0.270, 0.722], [0.185, 0.230, 0.222], [0.815, 0.730, 0.278]], "density_g_cm3": 4.3, "e_form_raw_ev_per_atom": -0.786, "magnetic_moment_mub_per_atom": 0.12}


Entry 3:
{"formula": "Sr3CoC3N3", "functional": "GGA-PBEsol", "state": "relaxed", "cell": [[5.342, 0.000, 0.000], [0.000, 8.636, 0.000], [0.000, -4.318, 7.479]], "species": ["N", "N", "N", "N", "N", "N", "Sr", "Sr", "Sr", "Sr", "Sr", "Sr", "Co", "Co", "C", "C", "C", "C", "C", "C"], "fractional_positions": [[0.750, 0.981, 0.278], [0.750, 0.722, 0.703], [0.250, 0.019, 0.722], [0.250, 0.703, 0.981], [0.750, 0.297, 0.019], [0.250, 0.278, 0.297], [0.250, 0.691, 0.627], [0.750, 0.064, 0.691], [0.250, 0.373, 0.064], [0.750, 0.627, 0.936], [0.750, 0.309, 0.373], [0.250, 0.936, 0.309], [0.750, 0.667, 0.333], [0.250, 0.333, 0.667], [0.750, 0.695, 0.547], [0.250, 0.305, 0.453], [0.750, 0.852, 0.305], [0.250, 0.547, 0.852], [0.250, 0.148, 0.695], [0.750, 0.453, 0.148]], "density_g_cm3": 3.8, "e_form_raw_ev_per_atom": -0.667, "magnetic_moment_mub_per_atom": 0.00}


Entry 4:
{"formula": "CoWC2N", "functional": "GGA-PBEsol", "state": "relaxed", "cell": [[3.872, 0.000, 0.000], [0.000, 4.042, 0.000], [0.000, 0.000, 4.042]], "species": ["C", "C", "W", "Co", "N"], "fractional_positions": [[0.000, 0.000, 0.500], [0.000, 0.500, 0.000], [0.000, 0.000, 0.000], [0.500, 0.500, 0.500], [0.500, 0.000, 0.000]], "density_g_cm3": 7.4, "e_form_raw_ev_per_atom": 1.793, "magnetic_moment_mub_per_atom": 0.40}


Entry 5:
{"formula": "NaCo2C", "functional": "GGA-PBEsol", "state": "relaxed", "cell": [[3.765, 0.000, 0.000], [1.883, 3.261, 0.000], [1.883, 1.087, 3.074]], "species": ["Co", "Co", "Na", "C"], "fractional_positions": [[0.250, 0.250, 0.250], [0.750, 0.750, 0.750], [0.500, 0.500, 0.500], [0.000, 0.000, 0.000]], "ef_mev_per_atom": 1382, "density_g_cm3": 6.7, "magnetic_moment_mub_per_atom": 0.00}


Entry 6:
{"formula": "Na6Co2PC4O16", "functional": "GGA-PBEsol", "state": "relaxed", "cell": [[9.607, 0.000, 0.000], [4.804, 8.320, 0.000], [4.804, 2.773, 7.844]], "species": ["O", "O", "O", "O", "O", "O", "O", "O", "O", "O", "O", "O", "O", "O", "O", "O", "O", "O", "O", "O", "O", "O", "O", "O", "O", "O", "O", "O", "O", "O", "O", "O", "Na", "Na", "Na", "Na", "Na", "Na", "Na", "Na", "Na", "Na", "Na", "Na", "C", "C", "C", "C", "C", "C", "C", "C", "Co", "Co", "Co", "Co", "P", "P"], "fractional_positions": [[0.765, 0.265, 0.938], [0.938, 0.265, 0.032], [0.566, 0.566, 0.566], [0.218, 0.485, 0.312], [0.985, 0.312, 0.485], [0.765, 0.938, 0.032], [0.566, 0.302, 0.566], [0.218, 0.985, 0.485], [0.302, 0.566, 0.566], [0.032, 0.765, 0.938], [0.218, 0.312, 0.985], [0.265, 0.765, 0.032], [0.265, 0.938, 0.765], [0.312, 0.485, 0.985], [0.938, 0.032, 0.765], [0.684, 0.948, 0.684], [0.985, 0.485, 0.218], [0.032, 0.938, 0.265], [0.312, 0.218, 0.485], [0.566, 0.566, 0.302], [0.684, 0.684, 0.684], [0.938, 0.765, 0.265], [0.765, 0.032, 0.265], [0.485, 0.312, 0.218], [0.032, 0.265, 0.765], [0.985, 0.218, 0.312], [0.265, 0.032, 0.938], [0.485, 0.985, 0.312], [0.312, 0.985, 0.218], [0.485, 0.218, 0.985], [0.684, 0.684, 0.948], [0.948, 0.684, 0.684], [0.959, 0.959, 0.541], [0.959, 0.541, 0.959], [0.709, 0.291, 0.709], [0.541, 0.541, 0.959], [0.541, 0.959, 0.541], [0.959, 0.541, 0.541], [0.291, 0.709, 0.291], [0.291, 0.291, 0.709], [0.709, 0.709, 0.291], [0.709, 0.291, 0.291], [0.541, 0.959, 0.959], [0.291, 0.709, 0.709], [0.337, 0.337, 0.337], [0.913, 0.261, 0.913], [0.261, 0.913, 0.913], [0.913, 0.913, 0.261], [0.337, 0.989, 0.337], [0.337, 0.337, 0.989], [0.913, 0.913, 0.913], [0.989, 0.337, 0.337], [0.125, 0.125, 0.125], [0.625, 0.125, 0.125], [0.125, 0.625, 0.125], [0.125, 0.125, 0.625], [0.750, 0.750, 0.750], [0.500, 0.500, 0.500]], "density_g_cm3": 3.1, "e_form_raw_ev_per_atom": -1.593, "magnetic_moment_mub_per_atom": 0.03}


Entry 7:
{"formula": "Na2CoPCO7", "functional": "GGA-PBEsol", "state": "relaxed", "cell": [[5.075, 0.000, -0.023], [0.000, 6.247, 0.000], [-0.282, 0.000, 8.831]], "species": ["Co", "Co", "Na", "Na", "Na", "Na", "O", "O", "O", "O", "O", "O", "O", "O", "O", "O", "O", "O", "O", "O", "C", "C", "P", "P"], "fractional_positions": [[0.787, 0.250, 0.655], [0.213, 0.750, 0.345], [0.760, 0.485, 0.244], [0.240, 0.985, 0.756], [0.760, 0.015, 0.244], [0.240, 0.515, 0.756], [0.467, 0.750, 0.192], [0.049, 0.750, 0.148], [0.138, 0.250, 0.577], [0.794, 0.555, 0.674], [0.862, 0.750, 0.423], [0.794, 0.945, 0.674], [0.684, 0.250, 0.053], [0.533, 0.250, 0.808], [0.588, 0.250, 0.462], [0.206, 0.445, 0.326], [0.951, 0.250, 0.852], [0.206, 0.055, 0.326], [0.316, 0.750, 0.947], [0.412, 0.750, 0.538], [0.721, 0.250, 0.915], [0.279, 0.750, 0.085], [0.716, 0.750, 0.573], [0.284, 0.250, 0.427]], "density_g_cm3": 3.1, "e_form_raw_ev_per_atom": -1.749, "magnetic_moment_mub_per_atom": 0.00}


Entry 8:
{"formula": "Na2CoCSO7", "functional": "GGA-PBEsol", "state": "relaxed", "cell": [[-0.009, 4.065, 3.224], [-3.817, -3.347, 4.208], [7.281, -3.412, 3.890]], "species": ["O", "O", "O", "O", "O", "O", "O", "O", "O", "O", "O", "O", "O", "O", "Co", "Co", "C", "C", "Na", "Na", "Na", "Na", "S", "S"], "fractional_positions": [[0.452, 0.750, 0.858], [0.337, 0.250, 0.430], [0.302, 0.432, 0.666], [0.548, 0.250, 0.142], [0.698, 0.932, 0.334], [0.698, 0.568, 0.334], [0.811, 0.250, 0.944], [0.034, 0.750, 0.816], [0.930, 0.250, 0.560], [0.070, 0.750, 0.440], [0.663, 0.750, 0.570], [0.189, 0.750, 0.056], [0.302, 0.068, 0.666], [0.966, 0.250, 0.184], [0.720, 0.250, 0.355], [0.280, 0.750, 0.645], [0.225, 0.750, 0.917], [0.775, 0.250, 0.083], [0.266, 0.001, 0.219], [0.734, 0.999, 0.781], [0.266, 0.499, 0.219], [0.734, 0.501, 0.781], [0.218, 0.250, 0.580], [0.782, 0.750, 0.420]], "density_g_cm3": 2.8, "e_form_raw_ev_per_atom": -1.468, "magnetic_moment_mub_per_atom": 0.25}


Which formula does entry 4 have? CoWC2N